ZrSc2HO | GGA-PBE | optimized geometry

The structure in POSCAR format:
```
ZrSc2HO
1.0
5.685 0.000 0.000
0.000 5.685 0.000
0.000 0.000 3.993
Zr Sc H O
1 2 1 1
direct
0.000 0.000 0.000
0.000 0.500 0.000
0.500 0.000 0.000
0.500 0.500 0.500
0.000 0.000 0.500
```

## Properties
Symmetry = No. 123
Total DFT energy (no corrections) = -28.02 eV for the cell shown



SmH5Se2O8 | GGA-PBE | optimized geometry

The structure in POSCAR format:
```
SmH5Se2O8
1.0
6.718 0.000 0.000
0.000 7.193 0.000
0.000 0.000 16.674
Sm H Se O
4 20 8 32
direct
0.121 0.088 0.214
0.379 0.912 0.714
0.621 0.412 0.786
0.879 0.588 0.286
0.007 0.404 0.105
0.033 0.263 0.904
0.041 0.245 0.038
0.160 0.676 0.563
0.225 0.157 0.540
0.275 0.843 0.040
0.340 0.324 0.063
0.459 0.755 0.538
0.467 0.737 0.404
0.493 0.596 0.605
0.507 0.096 0.895
0.533 0.237 0.096
0.541 0.255 0.962
0.660 0.824 0.437
0.725 0.343 0.460
0.775 0.657 0.960
0.840 0.176 0.937
0.959 0.745 0.462
0.967 0.763 0.596
0.993 0.904 0.395
0.149 0.282 0.416
0.151 0.406 0.729
0.349 0.594 0.229
0.351 0.718 0.916
0.649 0.218 0.584
0.651 0.094 0.271
0.849 0.906 0.771
0.851 0.782 0.084
0.014 0.682 0.553
0.029 0.910 0.699
0.075 0.893 0.097
0.087 0.290 0.092
0.094 0.183 0.512
0.127 0.087 0.357
0.190 0.767 0.262
0.192 0.412 0.258
0.308 0.588 0.758
0.310 0.233 0.762
0.373 0.913 0.857
0.406 0.817 0.012
0.413 0.710 0.592
0.425 0.107 0.597
0.471 0.090 0.199
0.486 0.318 0.053
0.514 0.818 0.447
0.529 0.590 0.301
0.575 0.607 0.903
0.587 0.210 0.908
0.594 0.317 0.488
0.627 0.413 0.643
0.690 0.733 0.738
0.692 0.088 0.742
0.808 0.912 0.242
0.810 0.267 0.238
0.873 0.587 0.143
0.906 0.683 0.988
0.913 0.790 0.408
0.925 0.393 0.403
0.971 0.410 0.801
0.986 0.182 0.947
```

## Properties
Symmetry = No. 19
Total DFT energy (no corrections) = -361.15 eV for the cell shown



Number 2 is which compound?
SmH5Se2O8



Look up the total DFT energy (no corrections) of the first one.
-28.02 eV for the cell shown